! Co8As3O16, relaxed, DFT GGA+U; values from VASP
! Space group: No. 12
! Uncorrected energy (eV/atom): -6.07
&SYSTEM
  ibrav = 0, nat = 27, ntyp = 3
/
ATOMIC_SPECIES
O 16.00 O.upf
As 74.92 As.upf
Co 58.93 Co.upf
ATOMIC_POSITIONS angstrom
O 7.911 -8.915 4.469
O 6.061 -8.519 2.138
O 1.105 -1.477 0.384
O 0.815 -4.279 2.366
O 4.029 -7.847 -0.093
O 3.930 -10.297 1.743
As 0.000 0.000 0.000
O 3.251 -7.611 3.052
Co -0.265 -2.513 1.706
As 5.647 -10.198 2.161
Co 6.891 -4.785 2.064
Co 0.470 -2.735 -1.263
Co 6.650 -7.371 3.728
O 1.519 -7.079 0.906
Co 7.360 -7.586 0.859
As 3.935 -3.254 1.217
Co 2.691 -8.667 1.315
O 5.652 -3.155 1.635
Co 2.222 -5.866 2.520
Co 2.932 -6.081 -0.350
O 6.331 -5.841 0.327
O 8.477 -11.976 2.994
O 5.553 -5.606 3.471
O 8.767 -9.174 1.013
O 1.671 -4.537 -1.091
O 8.063 -6.373 2.473
O 3.521 -4.933 1.241
CELL_PARAMETERS angstrom
-0.530 -5.026 3.413
0.940 -5.470 -2.526
9.172 -2.956 2.491